# 1
Density functional theory data (PBE) for a geometry-optimized CsSmTe2 structure.

Summary:
Raw formation energy = -1213.7 meV per atom
Space-group type = P4/mmm, No. 123

extended XYZ file:
```
4
Lattice="3.9936 0.0000 0.0000 0.0000 3.9936 0.0000 0.0000 0.0000 9.1167" Properties=species:S:1:pos:R:3 pbc="T T T"
Cs 1.9968 1.9968 4.5583
Te 0.0000 0.0000 7.3119
Te 0.0000 0.0000 1.8048
Sm 1.9968 1.9968 0.0000
```



# 2
Density functional theory data (PBE) for a geometry-optimized Cs5SmTe4 structure.

Summary:
Raw formation energy = -1040.4 meV per atom
Space-group type = Immm, No. 71

extended XYZ file:
```
10
Lattice="-1.8343 -4.8474 0.0108 -0.7354 0.2568 -9.6773 10.9799 -1.3752 3.9979" Properties=species:S:1:pos:R:3 pbc="T T T"
Cs 3.1318 -1.1913 -2.7986
Cs 2.7788 -1.0681 -7.4576
Cs 5.6315 -4.8977 1.7890
Cs -1.2848 -2.2953 -4.8333
Cs 5.2785 -4.7745 -2.8700
Sm -0.9171 -2.4237 0.0054
Te 2.1567 -3.5874 -0.2618
Te 8.9884 -6.1676 1.9551
Te 6.2535 -2.3784 -5.4068
Te -0.5782 0.2018 -7.6238
```



# 3
Density functional theory data (PBE) for a geometry-optimized CsSm6Te8 structure.

Summary:
Raw formation energy = -1388.3 meV per atom
Space-group type = P-3, No. 147

extended XYZ file:
```
15
Lattice="-3.4854 0.0351 -2.8803 -3.4279 -10.7861 4.0168 -4.2092 9.9655 5.2149" Properties=species:S:1:pos:R:3 pbc="T T T"
Cs -1.7427 0.0175 -1.4401
Sm -7.1167 0.9664 3.3050
Sm -7.4409 4.8678 3.7448
Sm -5.1236 3.3895 0.9226
Sm -4.0058 -1.7519 3.0466
Sm -3.6817 -5.6533 2.6068
Sm -5.9989 -4.1750 5.4290
Te -8.8456 2.5581 5.4061
Te -5.6919 6.4284 1.6369
Te -5.1590 0.2374 0.9166
Te -2.2769 -3.3436 0.9455
Te -5.4306 -7.2139 4.7147
Te -5.9635 -1.0229 5.4349
Te -6.3041 -3.8426 2.2546
Te -4.8185 3.0571 4.0969
```



# 4
Density functional theory data (PBE) for a geometry-optimized CsSmTe2 structure.

Summary:
Raw formation energy = -1395.3 meV per atom
Space-group type = R3m, No. 160

extended XYZ file:
```
4
Lattice="-2.2823 -3.3390 2.2208 0.4809 -4.3950 -1.3203 6.3424 -3.5313 6.0020" Properties=species:S:1:pos:R:3 pbc="T T T"
Cs 2.3000 -5.6367 3.4755
Sm 5.1300 -8.6857 6.5929
Te 4.9953 -3.3463 4.8957
Te 0.7284 -2.7605 1.3915
```



# 5
Density functional theory data (PBE) for a geometry-optimized Cs3Sm2ThTe6 structure.

Summary:
Raw formation energy = -1330.1 meV per atom
Space-group type = C2/m, No. 12

extended XYZ file:
```
12
Lattice="7.9571 -0.0012 0.0005 -3.9777 6.8916 0.0005 -1.3266 -2.2970 9.0084" Properties=species:S:1:pos:R:3 pbc="T T T"
Cs -2.6431 4.5893 4.5047
Cs 5.2960 0.0041 4.5047
Cs 1.3264 2.2967 4.5047
Sm 0.0017 4.5933 0.0005
Sm 3.9777 2.2970 0.0005
Th 0.0000 0.0000 0.0000
Te 3.9722 2.3081 7.2475
Te 2.6600 4.6058 1.7652
Te -1.3194 2.2853 1.7620
Te 0.0140 4.5941 7.2475
Te -0.0072 -0.0124 7.2443
Te 2.6388 -0.0007 1.7620
```



# 6
Density functional theory data (PBE) for a geometry-optimized Cs3SmTh2Te6 structure.

Summary:
Raw formation energy = -1247.2 meV per atom
Space-group type = C2/m, No. 12

extended XYZ file:
```
12
Lattice="-5.5418 4.8514 -2.8524 -0.1282 -7.6733 -1.8676 -3.3154 -0.7388 8.8297" Properties=species:S:1:pos:R:3 pbc="T T T"
Cs -2.6873 -5.9572 2.3832
Cs -6.2981 2.3966 1.7264
Cs -4.4927 -1.7803 2.0548
Sm 0.0000 0.0000 0.0000
Th -1.9330 -3.4977 -2.1959
Th -3.7370 0.6759 -2.5241
Te -7.9109 -0.6622 3.2956
Te -4.8069 -2.2116 -1.7034
Te -1.0744 -2.8984 0.8141
Te -6.1008 -4.8500 3.6249
Te -4.1785 -1.3490 5.8130
Te -2.8845 1.2894 0.4848
```



# 7
Density functional theory data (PBE) for a geometry-optimized Cs3Sm3ThTe8 structure.

Summary:
Raw formation energy = -1381.0 meV per atom
Space-group type = R-3m, No. 166

extended XYZ file:
```
15
Lattice="-8.1450 1.5108 3.8820 6.7077 -3.9295 4.8230 1.0760 10.3334 -1.7637" Properties=species:S:1:pos:R:3 pbc="T T T"
Cs 0.0000 0.0000 0.0000
Cs 3.3538 -1.9647 2.4115
Cs -0.7186 -1.2093 4.3525
Sm -3.5345 5.9221 1.0592
Sm -0.1806 3.9573 3.4707
Sm 3.8919 3.2019 1.5296
Th 0.5380 5.1667 -0.8818
Te 1.7500 1.4719 3.0988
Te -2.1112 6.4428 3.8425
Te -2.3196 2.2298 5.0448
Te 1.9584 5.6849 1.8965
Te -5.6793 4.1982 2.6295
Te 5.3181 3.7165 4.3118
Te -1.5994 3.4414 0.6849
Te 1.2382 4.4733 6.2564
```



# 8
Density functional theory data (PBE) for a geometry-optimized Cs4Sm3ThTe8 structure.

Summary:
Raw formation energy = -1348.9 meV per atom
Space-group type = R-3m, No. 166

extended XYZ file:
```
16
Lattice="9.2075 0.0000 0.0000 0.0000 10.4069 0.8498 -4.6037 -4.6077 6.5102" Properties=species:S:1:pos:R:3 pbc="T T T"
Cs 4.6037 0.0000 0.0000
Cs 2.3019 -2.3038 3.2551
Cs 0.0000 0.0000 0.0000
Cs -2.3019 -2.3038 3.2551
Sm 4.6037 5.2035 0.4249
Sm 2.3019 2.8996 3.6800
Sm -2.3019 2.8996 3.6800
Th 0.0000 5.2035 0.4249
Te -2.3129 2.7907 6.8685
Te 0.0000 5.1061 3.5973
Te 0.0000 0.7085 3.7574
Te 2.3129 2.7907 6.8685
Te 2.2909 3.0085 0.4915
Te 4.6037 5.0907 3.6026
Te 4.6037 0.6932 3.7628
Te 6.9166 3.0085 0.4915
```



# 9
Density functional theory data (PBE) for a geometry-optimized Cs4SmTh3Te8 structure.

Summary:
Raw formation energy = -1227.2 meV per atom
Space-group type = R-3m, No. 166

extended XYZ file:
```
16
Lattice="9.1003 0.0000 0.0000 0.0000 10.4747 0.9743 -4.5501 -4.5542 6.4319" Properties=species:S:1:pos:R:3 pbc="T T T"
Cs 4.5501 0.0000 0.0000
Cs 2.2751 -2.2771 3.2159
Cs 0.0000 0.0000 0.0000
Cs -2.2751 -2.2771 3.2159
Sm 0.0000 5.2373 0.4871
Th 4.5501 5.2373 0.4871
Th 2.2751 2.9602 3.7031
Th -2.2751 2.9602 3.7031
Te -2.2750 2.9175 6.8922
Te 0.0000 5.1952 3.6760
Te 0.0000 0.7097 3.7194
Te 2.2750 2.9175 6.8922
Te 2.2751 3.0029 0.5140
Te 4.5501 5.2108 3.6867
Te 4.5501 0.7253 3.7302
Te 6.8252 3.0029 0.5140
```



# 10
Density functional theory data (PBE) for a geometry-optimized CsSmTlTe3 structure.

Summary:
Raw formation energy = -940.5 meV per atom
Space-group type = P2_1/m, No. 11

extended XYZ file:
```
12
Lattice="-0.2954 2.2029 4.1336 1.9858 -8.7051 4.7811 10.1380 5.2583 -2.0777" Properties=species:S:1:pos:R:3 pbc="T T T"
Cs 2.8352 0.0093 1.5299
Cs 8.9932 -1.2532 5.3070
Sm 2.4900 -4.5750 3.9482
Sm 9.3383 3.3310 2.8887
Tl 6.3588 3.2249 0.0680
Tl 5.4696 -4.4688 6.7689
Te 2.6079 -5.3616 7.0402
Te 9.2205 4.1176 -0.2033
Te 5.6903 -3.8293 3.7796
Te 6.1381 2.5854 3.0573
Te 2.2729 -1.5786 5.0002
Te 9.5555 0.3347 1.8367
```



The highest raw formation energy belongs to which entry? CsSmTlTe3



The highest raw formation energy belongs to which entry? CsSmTlTe3



What did the fourth record say?
Density functional theory data (PBE) for a geometry-optimized CsSmTe2 structure.

Summary:
Raw formation energy = -1395.3 meV per atom
Space-group type = R3m, No. 160

extended XYZ file:
```
4
Lattice="-2.2823 -3.3390 2.2208 0.4809 -4.3950 -1.3203 6.3424 -3.5313 6.0020" Properties=species:S:1:pos:R:3 pbc="T T T"
Cs 2.3000 -5.6367 3.4755
Sm 5.1300 -8.6857 6.5929
Te 4.9953 -3.3463 4.8957
Te 0.7284 -2.7605 1.3915
```